Density functional theory data (PBE-GGA) for an optimized crystal structure of HgSb6Pb8.

- Volume: 490.0 Å³/cell
- D(E_F): 8.7 states/eV per cell
- Space-group type: P-3, No. 147
- ΔE_f (raw): 89 meV per atom
- Magnetization: 0.00 μB/f.u.

Structure (extended XYZ):
```
15
Lattice="4.5065 0.0000 0.0000 0.0000 9.7041 -5.6026 0.0000 0.0000 11.2053" Properties=species:S:1:pos:R:3 pbc="T T T"
Hg 2.2533 0.0000 0.0000
Sb 3.2849 6.1624 -2.3657
Sb 3.2849 8.6717 0.9170
Sb 3.2849 4.5741 1.4488
Sb 1.2216 3.5417 7.9684
Sb 1.2216 1.0324 4.6857
Sb 1.2216 5.1300 4.1539
Pb 3.4480 9.3142 -2.5247
Pb 3.4480 7.2335 3.7260
Pb 3.4480 2.8605 -1.2013
Pb 1.0585 0.3899 8.1274
Pb 1.0585 2.4706 1.8767
Pb 1.0585 6.8435 6.8039
Pb 3.4214 3.2347 5.6027
Pb 1.0852 6.4694 0.0000
```